An optimized crystal structure of ErScIn2O6. Source: Alexandria via LeMat-Bulk, functional PBE.

Geometry as CIF:
```
data_ErScIn2O6
_chemical_formula_sum 'Er3 Sc3 In6 O18'
_symmetry_space_group_name_H-M 'R 3'
_symmetry_Int_Tables_number 146
_symmetry_space_group_name_Hall 'R 3'
_cell_length_a 5.5631
_cell_length_b 5.5631
_cell_length_c 14.8307
_cell_angle_alpha 90.00
_cell_angle_beta 90.00
_cell_angle_gamma 120.00
loop_
_atom_site_label
_atom_site_fract_x
_atom_site_fract_y
_atom_site_fract_z
_atom_site_occupancy
Er1 0.0000 0.0000 0.0000 1
Sc1 0.0000 0.0000 0.4952 1
In1 0.0000 0.0000 0.2830 1
In2 0.0000 0.0000 0.7856 1
O1 0.0052 0.7127 0.3939 1
O2 0.0342 0.3568 0.5575 1
```

## Properties
**DFT total energy**: -7.142 eV/atom
**Density of states at the Fermi level**: 0.00 states/eV per cell
**Calculated density**: 6.7 g cm⁻³
**Uncorrected formation energy**: -2530 meV per atom

***

An optimized crystal structure of Er2ScInO. Source: Alexandria via LeMat-Bulk, functional PBE.

Geometry as CIF:
```
data_Er2ScInO
_chemical_formula_sum 'Er2 Sc1 In1 O1'
_symmetry_space_group_name_H-M 'P 4/m m m'
_symmetry_Int_Tables_number 123
_symmetry_space_group_name_Hall '-P 4 2'
_cell_length_a 4.737
_cell_length_b 4.737
_cell_length_c 4.476
_cell_angle_alpha 90.00
_cell_angle_beta 90.00
_cell_angle_gamma 90.00
loop_
_atom_site_label
_atom_site_fract_x
_atom_site_fract_y
_atom_site_fract_z
_atom_site_occupancy
Er1 0.000 0.500 0.000 1
Sc1 0.000 0.000 0.500 1
In1 0.500 0.500 0.500 1
O1 0.000 0.000 0.000 1
```

## Properties
**DFT total energy**: -6.054 eV/atom
**Density of states at the Fermi level**: 2.65 states/eV per cell
**Calculated density**: 8.4 g cm⁻³
**Uncorrected formation energy**: -1423 meV per atom

***

An optimized crystal structure of ErInSeO2. Source: Alexandria via LeMat-Bulk, functional PBE.

Geometry as CIF:
```
data_ErInSeO2
_chemical_formula_sum 'Er2 In2 Se2 O4'
_symmetry_space_group_name_H-M 'P 1 21/m 1'
_symmetry_Int_Tables_number 11
_cell_length_a 6.700
_cell_length_b 4.090
_cell_length_c 7.476
_cell_angle_alpha 90.00
_cell_angle_beta 115.32
_cell_angle_gamma 90.00
loop_
_symmetry_equiv_pos_as_xyz
'x,y,z'
'-x,-y,-z'
'-x,y+1/2,-z'
'x,-y+1/2,z'
loop_
_atom_site_label
_atom_site_fract_x
_atom_site_fract_y
_atom_site_fract_z
_atom_site_occupancy
Er1 0.173 0.250 0.439 1
In1 0.171 0.250 0.947 1
Se1 0.478 0.750 0.725 1
O1 0.012 0.750 0.374 1
O2 0.041 0.750 0.889 1
```

## Properties
**DFT total energy**: -6.265 eV/atom
**Calculated density**: 7.0 g cm⁻³
**Uncorrected formation energy**: -2125 meV per atom

***

An optimized crystal structure of Sm2ErInO. Source: Alexandria via LeMat-Bulk, functional PBE.

Geometry as CIF:
```
data_Sm2ErInO
_chemical_formula_sum 'Sm2 Er1 In1 O1'
_symmetry_space_group_name_H-M 'P 4/m m m'
_symmetry_Int_Tables_number 123
_symmetry_space_group_name_Hall '-P 4 2'
_cell_length_a 4.937
_cell_length_b 4.937
_cell_length_c 4.696
_cell_angle_alpha 90.00
_cell_angle_beta 90.00
_cell_angle_gamma 90.00
loop_
_atom_site_label
_atom_site_fract_x
_atom_site_fract_y
_atom_site_fract_z
_atom_site_occupancy
Sm1 0.000 0.500 0.000 1
Er1 0.000 0.000 0.500 1
In1 0.500 0.500 0.500 1
O1 0.000 0.000 0.000 1
```

## Properties
**DFT total energy**: -5.756 eV/atom
**Density of states at the Fermi level**: 2.15 states/eV per cell
**Calculated density**: 8.7 g cm⁻³
**Uncorrected formation energy**: -1417 meV per atom

***

An optimized crystal structure of SrErIn4O8. Source: Alexandria via LeMat-Bulk, functional PBE.

Geometry as CIF:
```
data_SrErIn4O8
_chemical_formula_sum 'Sr3 Er3 In12 O24'
_symmetry_space_group_name_H-M 'R 3 m'
_symmetry_Int_Tables_number 160
_symmetry_space_group_name_Hall 'R 3 -2"'
_cell_length_a 6.7319
_cell_length_b 6.7319
_cell_length_c 16.6398
_cell_angle_alpha 90.00
_cell_angle_beta 90.00
_cell_angle_gamma 120.00
loop_
_atom_site_label
_atom_site_fract_x
_atom_site_fract_y
_atom_site_fract_z
_atom_site_occupancy
Sr1 0.0000 0.0000 0.0000 1
Er1 0.0000 0.0000 0.3736 1
In1 0.0000 0.0000 0.7505 1
In2 0.0035 0.5017 0.8758 1
O1 0.0000 0.0000 0.1436 1
O2 0.0000 0.0000 0.6119 1
O3 0.0253 0.5126 0.1302 1
O4 0.1895 0.3791 0.9523 1
```

## Properties
**DFT total energy**: -6.087 eV/atom
**Density of states at the Fermi level**: 5.22 states/eV per cell
**Calculated density**: 6.4 g cm⁻³
**Uncorrected formation energy**: -2025 meV per atom

***

An optimized crystal structure of Sr2ErInO5. Source: Alexandria via LeMat-Bulk, functional PBE.

Geometry as CIF:
```
data_Sr2ErInO5
_chemical_formula_sum 'Sr8 Er4 In4 O20'
_symmetry_space_group_name_H-M 'C m c 21'
_symmetry_Int_Tables_number 36
_cell_length_a 3.501
_cell_length_b 14.195
_cell_length_c 11.117
_cell_angle_alpha 90.00
_cell_angle_beta 90.00
_cell_angle_gamma 90.00
loop_
_symmetry_equiv_pos_as_xyz
'x,y,z'
'-x,-y,z+1/2'
'-x,y,z'
'x,-y,z+1/2'
'x+1/2,y+1/2,z'
'-x+1/2,-y+1/2,z+1/2'
'-x+1/2,y+1/2,z'
'x+1/2,-y+1/2,z+1/2'
loop_
_atom_site_label
_atom_site_fract_x
_atom_site_fract_y
_atom_site_fract_z
_atom_site_occupancy
Sr1 0.000 0.105 0.000 1
Sr2 0.000 0.139 0.594 1
Er1 0.000 0.222 0.322 1
In1 0.000 0.474 0.771 1
O1 0.000 0.060 0.366 1
O2 0.000 0.277 0.958 1
O3 0.000 0.311 0.697 1
O4 0.000 0.375 0.314 1
O5 0.000 0.493 0.089 1
```

## Properties
**DFT total energy**: -6.576 eV/atom
**Density of states at the Fermi level**: 0.00 states/eV per cell
**Calculated density**: 6.5 g cm⁻³
**Uncorrected formation energy**: -2637 meV per atom

***

An optimized crystal structure of TbEr2InO. Source: Alexandria via LeMat-Bulk, functional PBE.

Geometry as CIF:
```
data_TbEr2InO
_chemical_formula_sum 'Tb1 Er2 In1 O1'
_symmetry_space_group_name_H-M 'P 4/m m m'
_symmetry_Int_Tables_number 123
_symmetry_space_group_name_Hall '-P 4 2'
_cell_length_a 4.726
_cell_length_b 4.726
_cell_length_c 4.821
_cell_angle_alpha 90.00
_cell_angle_beta 90.00
_cell_angle_gamma 90.00
loop_
_atom_site_label
_atom_site_fract_x
_atom_site_fract_y
_atom_site_fract_z
_atom_site_occupancy
Tb1 0.000 0.000 0.000 1
Er1 0.000 0.500 0.500 1
In1 0.500 0.500 0.000 1
O1 0.000 0.000 0.500 1
```

## Properties
**DFT total energy**: -5.709 eV/atom
**Density of states at the Fermi level**: 1.68 states/eV per cell
**Calculated density**: 9.6 g cm⁻³
**Uncorrected formation energy**: -1418 meV per atom

***

An optimized crystal structure of Tb2ErInO. Source: Alexandria via LeMat-Bulk, functional PBE.

Geometry as CIF:
```
data_Tb2ErInO
_chemical_formula_sum 'Tb2 Er1 In1 O1'
_symmetry_space_group_name_H-M 'P 4/m m m'
_symmetry_Int_Tables_number 123
_symmetry_space_group_name_Hall '-P 4 2'
_cell_length_a 4.816
_cell_length_b 4.816
_cell_length_c 4.718
_cell_angle_alpha 90.00
_cell_angle_beta 90.00
_cell_angle_gamma 90.00
loop_
_atom_site_label
_atom_site_fract_x
_atom_site_fract_y
_atom_site_fract_z
_atom_site_occupancy
Tb1 0.000 0.500 0.000 1
Er1 0.000 0.000 0.500 1
In1 0.500 0.500 0.500 1
O1 0.000 0.000 0.000 1
```

## Properties
**DFT total energy**: -5.731 eV/atom
**Density of states at the Fermi level**: 1.72 states/eV per cell
**Calculated density**: 9.3 g cm⁻³
**Uncorrected formation energy**: -1427 meV per atom

***

An optimized crystal structure of ErIn2TcO8. Source: Alexandria via LeMat-Bulk, functional PBE.

Geometry as CIF:
```
data_ErIn2TcO8
_chemical_formula_sum 'Er1 In2 Tc1 O8'
_symmetry_space_group_name_H-M 'P 1 2/m 1'
_symmetry_Int_Tables_number 10
_cell_length_a 4.963
_cell_length_b 6.525
_cell_length_c 4.974
_cell_angle_alpha 90.00
_cell_angle_beta 91.45
_cell_angle_gamma 90.00
loop_
_symmetry_equiv_pos_as_xyz
'x,y,z'
'-x,-y,-z'
'-x,y,-z'
'x,-y,z'
loop_
_atom_site_label
_atom_site_fract_x
_atom_site_fract_y
_atom_site_fract_z
_atom_site_occupancy
Er1 0.000 0.000 0.000 1
In1 0.500 0.250 0.500 1
Tc1 0.000 0.500 0.000 1
O1 0.183 0.291 0.819 1
O2 0.283 0.500 0.285 1
O3 0.306 0.000 0.308 1
```

## Properties
**DFT total energy**: -6.790 eV/atom
**Density of states at the Fermi level**: 0.42 states/eV per cell
**Calculated density**: 6.4 g cm⁻³
**Uncorrected formation energy**: -1784 meV per atom

***

An optimized crystal structure of ErIn2TeO8. Source: Alexandria via LeMat-Bulk, functional PBE.

Geometry as CIF:
```
data_ErIn2TeO8
_chemical_formula_sum 'Er2 In4 Te2 O16'
_symmetry_space_group_name_H-M 'C m m m'
_symmetry_Int_Tables_number 65
_symmetry_space_group_name_Hall '-C 2 2'
_cell_length_a 6.873
_cell_length_b 6.981
_cell_length_c 6.732
_cell_angle_alpha 90.00
_cell_angle_beta 90.00
_cell_angle_gamma 90.00
loop_
_atom_site_label
_atom_site_fract_x
_atom_site_fract_y
_atom_site_fract_z
_atom_site_occupancy
Er1 0.000 0.000 0.000 1
In1 0.000 0.500 0.256 1
Te1 0.000 0.000 0.500 1
O1 0.000 0.185 0.282 1
O2 0.186 0.500 0.000 1
O3 0.213 0.500 0.500 1
```

## Properties
**DFT total energy**: -6.058 eV/atom
**Density of states at the Fermi level**: 11.26 states/eV per cell
**Calculated density**: 6.7 g cm⁻³
**Uncorrected formation energy**: -1654 meV per atom

***

An optimized crystal structure of Er2InTeO8. Source: Alexandria via LeMat-Bulk, functional PBE.

Geometry as CIF:
```
data_Er2InTeO8
_chemical_formula_sum 'Er4 In2 Te2 O16'
_symmetry_space_group_name_H-M 'C m m m'
_symmetry_Int_Tables_number 65
_symmetry_space_group_name_Hall '-C 2 2'
_cell_length_a 6.908
_cell_length_b 7.148
_cell_length_c 6.772
_cell_angle_alpha 90.00
_cell_angle_beta 90.00
_cell_angle_gamma 90.00
loop_
_atom_site_label
_atom_site_fract_x
_atom_site_fract_y
_atom_site_fract_z
_atom_site_occupancy
Er1 0.000 0.000 0.248 1
In1 0.000 0.500 0.000 1
Te1 0.000 0.500 0.500 1
O1 0.000 0.316 0.286 1
O2 0.201 0.000 0.000 1
O3 0.220 0.000 0.500 1
```

## Properties
**DFT total energy**: -6.664 eV/atom
**Density of states at the Fermi level**: 15.38 states/eV per cell
**Calculated density**: 7.0 g cm⁻³
**Uncorrected formation energy**: -2108 meV per atom